No. 1
Density functional theory data (PBE) for a geometry-optimized TlSb4Se6 structure.

Cell lengths 4.352, 13.580, 21.327 Å; angles 90.00, 90.00, 90.00 degrees
Space group Cmcm (No. 63)
One atom of each set of equivalent atoms:
1 Tl 0.000 0.164 0.250 [4 per cell]
2 Sb 0.000 0.091 0.633 [8 per cell]
3 Sb 0.000 0.364 0.542 [8 per cell]
4 Se 0.000 0.000 0.000 [4 per cell]
5 Se 0.000 0.172 0.750 [4 per cell]
6 Se 0.000 0.260 0.084 [8 per cell]
7 Se 0.000 0.466 0.657 [8 per cell]

Properties
As for the formation energy (no corrections): -0.25 eV per atom.

No. 2
Density functional theory data (PBE) for a geometry-optimized TlSb5Se8 structure.

Cell lengths 21.490, 4.076, 10.737 Å; angles 90.00, 103.59, 90.00 degrees
Space group Cm (No. 8)
One atom of each set of equivalent atoms:
1 Tl 0.000 0.000 0.000 [2 per cell]
2 Sb 0.005 0.500 0.638 [2 per cell]
3 Sb 0.165 0.000 0.617 [2 per cell]
4 Sb 0.211 0.000 0.975 [2 per cell]
5 Sb 0.294 0.500 0.279 [2 per cell]
6 Sb 0.344 0.500 0.647 [2 per cell]
7 Se 0.081 0.000 0.797 [2 per cell]
8 Se 0.095 0.500 0.473 [2 per cell]
9 Se 0.174 0.500 0.135 [2 per cell]
10 Se 0.245 0.500 0.811 [2 per cell]
11 Se 0.269 0.000 0.482 [2 per cell]
12 Se 0.335 0.000 0.138 [2 per cell]
13 Se 0.419 0.000 0.810 [2 per cell]
14 Se 0.428 0.500 0.488 [2 per cell]

Properties
As for the formation energy (no corrections): -0.26 eV per atom.

No. 3
Density functional theory data (PBE) for a geometry-optimized Tl3SbSe3 structure.

Cell lengths 9.491, 13.337, 8.410 Å; angles 90.00, 108.29, 90.00 degrees
Space group C2/m (No. 12)
One atom of each set of equivalent atoms:
1 Tl 0.000 0.167 0.000 [4 per cell]
2 Tl 0.000 0.197 0.500 [4 per cell]
3 Tl 0.169 0.500 0.160 [4 per cell]
4 Sb 0.171 0.500 0.641 [4 per cell]
5 Se 0.036 0.000 0.277 [4 per cell]
6 Se 0.118 0.356 0.820 [8 per cell]

Properties
As for the formation energy (no corrections): -0.31 eV per atom.

No. 4
Density functional theory data (PBE) for a geometry-optimized TlSb3Se structure.

Cell lengths 5.513, 5.513, 5.513 Å; angles 90.00, 90.00, 90.00 degrees
Space group Pm-3m (No. 221)
One atom of each set of equivalent atoms:
1 Tl 0.000 0.000 0.000 [1 per cell]
2 Sb 0.000 0.500 0.500 [3 per cell]
3 Se 0.500 0.500 0.500 [1 per cell]

Properties
As for the formation energy (no corrections): 0.48 eV per atom.

Repeat the third record exactly.
Density functional theory data (PBE) for a geometry-optimized Tl3SbSe3 structure.

Cell lengths 9.491, 13.337, 8.410 Å; angles 90.00, 108.29, 90.00 degrees
Space group C2/m (No. 12)
One atom of each set of equivalent atoms:
1 Tl 0.000 0.167 0.000 [4 per cell]
2 Tl 0.000 0.197 0.500 [4 per cell]
3 Tl 0.169 0.500 0.160 [4 per cell]
4 Sb 0.171 0.500 0.641 [4 per cell]
5 Se 0.036 0.000 0.277 [4 per cell]
6 Se 0.118 0.356 0.820 [8 per cell]

Properties
As for the formation energy (no corrections): -0.31 eV per atom.